Sr3CdHg6Au2 | PBE | relaxed

Results
Density = 9.46 g cm⁻³
Calculated total energy = -17.3 eV/cell
Formation enthalpy at 0 K = -2.95 eV/f.u.
Total magnetization = 0.0000 μB/atom

Cell lengths 6.6577, 6.6577, 9.0199 Å; angles 90.00, 90.00, 120.00 degrees
Last column: nearest neighbours and their distance in Å.
Element x y z (fractional)
Sr: 0.0000 0.0000 0.0000  6 Hg 3.23
Sr: 0.3333 0.6667 0.6326  1 Au 3.19, 6 Hg 3.45
Sr: 0.6667 0.3333 0.3674  1 Au 3.19, 6 Hg 3.45
Cd: 0.0000 0.0000 0.5000  6 Hg 2.96
Hg: 0.1832 0.3665 0.2703  1 Cd 2.96, 2 Hg 3.00, 1 Au 3.10, 1 Sr 3.23
Hg: 0.1832 0.8168 0.2703  1 Cd 2.96, 2 Hg 3.00, 1 Au 3.10, 1 Sr 3.23
Hg: 0.3665 0.1832 0.7297  1 Cd 2.96, 2 Hg 3.00, 1 Au 3.10, 1 Sr 3.23
Hg: 0.6335 0.8168 0.2703  1 Cd 2.96, 2 Hg 3.00, 1 Au 3.10, 1 Sr 3.23
Hg: 0.8168 0.1832 0.7297  1 Cd 2.96, 2 Hg 3.00, 1 Au 3.10, 1 Sr 3.23
Hg: 0.8168 0.6335 0.7297  1 Cd 2.96, 2 Hg 3.00, 1 Au 3.10, 1 Sr 3.23
Au: 0.3333 0.6667 0.9858  3 Hg 3.10, 1 Sr 3.19
Au: 0.6667 0.3333 0.0142  3 Hg 3.10, 1 Sr 3.19